Record 1
# GGA-PBE Zn2CuTe2F2, relaxed
# Energy (eV per cell): -22.129
data_Zn2CuTe2F2
_chemical_formula_sum 'Zn2 Cu1 Te2 F2'
_cell_length_a 3.633
_cell_length_b 3.633
_cell_length_c 9.280
_cell_angle_alpha 90.00
_cell_angle_beta 90.00
_cell_angle_gamma 90.00
_symmetry_space_group_name_H-M 'P 1'
_symmetry_Int_Tables_number 1
loop_
_symmetry_equiv_pos_as_xyz
'x,y,z'
loop_
_atom_site_label
_atom_site_fract_x
_atom_site_fract_y
_atom_site_fract_z
F1 0.500 0.500 0.000
Te1 0.000 0.500 0.305
Te2 0.500 0.000 0.695
F2 0.000 0.000 0.000
Zn1 0.500 0.000 0.135
Cu1 0.500 0.500 0.500
Zn2 0.000 0.500 0.865

Record 2
# GGA-PBE YInFeRe, relaxed
# Offset from the most stable computed form (meV per atom): 0
# Magnetization (μB/cell): 2.99
data_YInFeRe
_chemical_formula_sum 'Y1 In1 Fe1 Re1'
_cell_length_a 4.717
_cell_length_b 4.717
_cell_length_c 4.717
_cell_angle_alpha 60.00
_cell_angle_beta 60.00
_cell_angle_gamma 60.00
_symmetry_space_group_name_H-M 'P 1'
_symmetry_Int_Tables_number 1
loop_
_symmetry_equiv_pos_as_xyz
'x,y,z'
loop_
_atom_site_label
_atom_site_fract_x
_atom_site_fract_y
_atom_site_fract_z
Re1 0.250 0.250 0.250
Y1 0.500 0.500 0.500
Fe1 0.750 0.750 0.750
In1 0.000 0.000 0.000

Record 3
# GGA-PBE CsKFe2Se4, relaxed
# Energy (eV per cell): -37.731
# Magnetization (μB/cell): 6.00
data_CsKFe2Se4
_chemical_formula_sum 'Cs1 K1 Fe2 Se4'
_cell_length_a 6.934
_cell_length_b 6.934
_cell_length_c 5.666
_cell_angle_alpha 101.81
_cell_angle_beta 101.81
_cell_angle_gamma 115.94
_symmetry_space_group_name_H-M 'P 1'
_symmetry_Int_Tables_number 1
loop_
_symmetry_equiv_pos_as_xyz
'x,y,z'
loop_
_atom_site_label
_atom_site_fract_x
_atom_site_fract_y
_atom_site_fract_z
Se1 0.082 0.309 0.349
K1 0.638 0.362 0.500
Se2 0.310 0.084 0.850
Cs1 0.362 0.638 0.000
Fe1 0.998 0.002 0.000
Se3 0.916 0.690 0.150
Se4 0.691 0.918 0.651
Fe2 0.002 0.998 0.500